# Y4CoGeN2 | OQMD via LeMat-Bulk | GGA-PBE | optimized geometry
data_Y4CoGeN2
_cell_length_a 3.4749
_cell_length_b 3.4749
_cell_length_c 14.0634
_cell_angle_alpha 90.00
_cell_angle_beta 90.00
_cell_angle_gamma 120.00
_symmetry_space_group_name_H-M 'P -6 m 2'
_symmetry_Int_Tables_number 187
_symmetry_space_group_name_Hall 'P -6 2'
loop_
_atom_site_label
_atom_site_type_symbol
_atom_site_fract_x
_atom_site_fract_y
_atom_site_fract_z
_atom_site_occupancy
Y1 Y 0.0000 0.0000 0.1397 1
Y2 Y 0.3333 0.6667 0.3363 1
Co1 Co 0.3333 0.6667 0.0000 1
Ge1 Ge 0.0000 0.0000 0.5000 1
N1 N 0.6667 0.3333 0.2469 1
# calculated total energy	-7.67	eV/atom
# volume	147	Å³ per cell

# Y4CoGeN2 | OQMD via LeMat-Bulk | GGA-PBE | optimized geometry
data_Y4CoGeN2
_cell_length_a 3.4812
_cell_length_b 3.4812
_cell_length_c 14.0558
_cell_angle_alpha 90.00
_cell_angle_beta 90.00
_cell_angle_gamma 120.00
_symmetry_space_group_name_H-M 'P -6 m 2'
_symmetry_Int_Tables_number 187
_symmetry_space_group_name_Hall 'P -6 2'
loop_
_atom_site_label
_atom_site_type_symbol
_atom_site_fract_x
_atom_site_fract_y
_atom_site_fract_z
_atom_site_occupancy
Y1 Y 0.0000 0.0000 0.1399 1
Y2 Y 0.6667 0.3333 0.3363 1
Co1 Co 0.6667 0.3333 0.0000 1
Ge1 Ge 0.0000 0.0000 0.5000 1
N1 N 0.3333 0.6667 0.2471 1
# calculated total energy	-7.67	eV/atom
# volume	148	Å³ per cell

# Zr4CoGeN2 | OQMD via LeMat-Bulk | GGA-PBE | optimized geometry
data_Zr4CoGeN2
_cell_length_a 3.2402
_cell_length_b 3.2402
_cell_length_c 13.4686
_cell_angle_alpha 90.00
_cell_angle_beta 90.00
_cell_angle_gamma 120.00
_symmetry_space_group_name_H-M 'P -6 m 2'
_symmetry_Int_Tables_number 187
_symmetry_space_group_name_Hall 'P -6 2'
loop_
_atom_site_label
_atom_site_type_symbol
_atom_site_fract_x
_atom_site_fract_y
_atom_site_fract_z
_atom_site_occupancy
Zr1 Zr 0.0000 0.0000 0.1426 1
Zr2 Zr 0.6667 0.3333 0.3385 1
Co1 Co 0.6667 0.3333 0.0000 1
Ge1 Ge 0.0000 0.0000 0.5000 1
N1 N 0.3333 0.6667 0.2414 1
# calculated total energy	-8.80	eV/atom
# volume	122	Å³ per cell